(1)
# DyEr2Hg

An optimized crystal structure of DyEr2Hg (PBE-GGA, the Alexandria database).

Cell lengths 3.5696, 3.5696, 8.8754 Å; angles 90.00, 90.00, 90.00 degrees
Fractional positions:
Er1 0.0000 0.0000 0.2229
Er2 0.0000 0.0000 0.7771
Dy1 0.5000 0.5000 0.5000
Hg1 0.5000 0.5000 0.0000

Calculated values
* polymorph energy (0 for the lowest one): 0.0000 eV/atom
* symmetry: P4/mmm, No. 123
* spin magnetization: 0.000 Bohr magnetons per cell
* Fermi-level density of states: 1.0986 states/eV per atom
* calculated formation energy: -88 kJ/mol of formula units

***

(2)
# Dy4Er9Hg11

An optimized crystal structure of Dy4Er9Hg11 (PBE-GGA, the Alexandria database).

Cell lengths 3.5356, 13.6217, 13.6217 Å; angles 109.53, 90.00, 90.00 degrees
Each line ends with the local moment (μB).
Fractional positions:
Er1 0.5000 0.3796 0.8511  0.00
Hg1 0.0000 0.7802 0.7802  0.01
Hg2 0.0000 0.5885 0.9457  0.00
Hg3 0.0000 0.9457 0.5885  0.00
Er2 0.5000 0.8511 0.3796  0.00
Hg4 0.0000 0.3705 0.6295  0.01
Dy1 0.5000 0.7478 0.5777  0.14
Dy2 0.5000 0.4223 0.2522  0.14
Hg5 0.0000 0.4115 0.0543  0.00
Er3 0.5000 0.1489 0.6204  0.00
Er4 0.5000 0.7962 0.9779  0.06
Hg6 0.0000 0.2198 0.2198  0.01
Hg7 0.0000 0.1788 0.8212  0.00
Hg8 0.0000 0.8212 0.1788  0.00
Dy3 0.5000 0.5777 0.7478  0.14
Hg9 0.0000 0.0000 0.0000  0.01
Hg10 0.0000 0.6295 0.3705  0.01
Er5 0.5000 0.9779 0.7962  0.06
Er6 0.5000 0.2038 0.0221  0.06
Hg11 0.0000 0.0543 0.4115  0.00
Dy4 0.5000 0.2522 0.4223  0.14
Er7 0.5000 0.0221 0.2038  0.06
Er8 0.5000 0.6204 0.1489  0.00
Er9 0.5000 0.5000 0.5000  0.32

Calculated values
* symmetry: Cmmm, No. 65
* spin magnetization: 1.394 Bohr magnetons per cell
* Fermi-level density of states: 0.9367 states/eV per atom
* calculated formation energy: -850 kJ/mol of formula units

***

(3)
# Dy2Er3Hg6

An optimized crystal structure of Dy2Er3Hg6 (PBE-GGA, the Alexandria database).

Cell lengths 5.0548, 5.0548, 13.6878 Å; angles 100.64, 100.64, 90.00 degrees
Fractional positions:
Hg1 0.7474 0.7474 0.4947
Dy1 0.3690 0.3690 0.7380
Hg2 0.5660 0.0660 0.1320
Hg3 0.2526 0.2526 0.5053
Er1 0.0000 0.0000 0.0000
Hg4 0.0660 0.5660 0.1320
Er2 0.1362 0.1362 0.2725
Hg5 0.9340 0.4340 0.8680
Er3 0.8638 0.8638 0.7275
Dy2 0.6310 0.6310 0.2620
Hg6 0.4340 0.9340 0.8680

Calculated values
* symmetry: I4/mmm, No. 139
* spin magnetization: 0.000 Bohr magnetons per cell
* Fermi-level density of states: 0.6820 states/eV per atom
* calculated formation energy: -104 kJ/mol of formula units

***

(4)
# DyEr2Hg

An optimized crystal structure of DyEr2Hg (PBE-GGA, the Alexandria database).

Cell lengths 3.6155, 3.6155, 10.5871 Å; angles 80.19, 80.19, 60.04 degrees
Each line ends with the local moment (μB).
Fractional positions:
Er1 0.2574 0.2574 0.2277  0.03
Er2 0.0762 0.0762 0.7719  0.11
Dy1 0.5000 0.5000 0.4997  0.16
Hg1 0.6664 0.6664 0.0006  0.00

Calculated values
* polymorph energy (0 for the lowest one): 0.0694 eV/atom
* symmetry: R3m, No. 160
* spin magnetization: 0.392 Bohr magnetons per cell
* Fermi-level density of states: 1.3079 states/eV per atom
* calculated formation energy: -62 kJ/mol of formula units

***

(5)
# DyEr2Hg

An optimized crystal structure of DyEr2Hg (PBE-GGA, the Alexandria database).

Cell lengths 3.5758, 3.5758, 10.6924 Å; angles 80.37, 80.37, 60.00 degrees
Fractional positions:
Er1 0.7427 0.7427 0.7718
Hg1 0.0000 0.0000 0.0000
Er2 0.2573 0.2573 0.2282
Dy1 0.5000 0.5000 0.5000

Calculated values
* polymorph energy (0 for the lowest one): 0.0654 eV/atom
* symmetry: R-3m, No. 166
* spin magnetization: 0.000 Bohr magnetons per cell
* Fermi-level density of states: 0.8773 states/eV per atom
* calculated formation energy: -63 kJ/mol of formula units

***

(6)
# Dy3ErHg12

An optimized crystal structure of Dy3ErHg12 (PBE-GGA, the Alexandria database).

Cell lengths 4.5082, 4.5082, 19.2164 Å; angles 90.00, 90.00, 90.00 degrees
Fractional positions:
Hg1 0.0000 0.5000 0.3747
Hg2 0.0000 0.5000 0.6253
Dy1 0.0000 0.0000 0.2493
Hg3 0.5000 0.0000 0.8758
Hg4 0.5000 0.0000 0.3747
Hg5 0.5000 0.5000 0.5000
Hg6 0.5000 0.0000 0.6253
Dy2 0.0000 0.0000 0.5000
Hg7 0.5000 0.0000 0.1242
Hg8 0.0000 0.5000 0.1242
Hg9 0.5000 0.5000 0.7505
Hg10 0.0000 0.5000 0.8758
Hg11 0.5000 0.5000 0.0000
Dy3 0.0000 0.0000 0.7507
Er1 0.0000 0.0000 0.0000
Hg12 0.5000 0.5000 0.2495

Calculated values
* symmetry: P4/mmm, No. 123
* spin magnetization: 0.000 Bohr magnetons per cell
* Fermi-level density of states: 0.5993 states/eV per atom
* calculated formation energy: -478 kJ/mol of formula units

***

(7)
# Dy3ErHg7

An optimized crystal structure of Dy3ErHg7 (PBE-GGA, the Alexandria database).

Cell lengths 3.6071, 15.7238, 12.6006 Å; angles 90.00, 90.00, 96.59 degrees
Fractional positions:
Er1 0.0715 0.1429 0.7500
Hg1 0.4206 0.8412 0.7500
Hg2 0.3723 0.7447 0.1000
Hg3 0.3723 0.7447 0.4000
Hg4 0.6277 0.2553 0.6000
Hg5 0.5794 0.1588 0.2500
Dy1 0.0684 0.1369 0.0473
Hg6 0.7299 0.4598 0.5780
Hg7 0.6277 0.2553 0.9000
Hg8 0.4886 0.9772 0.1181
Dy2 0.8118 0.6237 0.2500
Er2 0.9285 0.8571 0.2500
Hg9 0.5114 0.0228 0.6181
Dy3 0.1882 0.3763 0.7500
Hg10 0.7299 0.4598 0.9220
Dy4 0.9316 0.8631 0.9527
Hg11 0.4886 0.9772 0.3819
Dy5 0.9316 0.8631 0.5473
Hg12 0.5114 0.0228 0.8819
Hg13 0.2701 0.5402 0.0780
Dy6 0.0684 0.1369 0.4527
Hg14 0.2701 0.5402 0.4220

Calculated values
* symmetry: Cmcm, No. 63
* spin magnetization: 0.000 Bohr magnetons per cell
* Fermi-level density of states: 1.0141 states/eV per atom
* calculated formation energy: -225 kJ/mol of formula units

***

(8)
# Dy8ErHg2

An optimized crystal structure of Dy8ErHg2 (PBE-GGA, the Alexandria database).

Cell lengths 5.5115, 8.6375, 8.6375 Å; angles 118.69, 100.39, 100.39 degrees
Fractional positions:
Er1 0.5000 0.0000 0.0000
Dy1 0.5000 0.2239 0.7761
Dy2 0.5000 0.7761 0.2239
Dy3 0.8939 0.6799 0.9081
Dy4 0.8939 0.9081 0.6799
Hg1 0.0000 0.6937 0.3063
Dy5 0.7001 0.3968 0.3968
Hg2 0.0000 0.3063 0.6937
Dy6 0.2999 0.6032 0.6032
Dy7 0.1061 0.3201 0.0919
Dy8 0.1061 0.0919 0.3201

Calculated values
* symmetry: C2/m, No. 12
* spin magnetization: 0.000 Bohr magnetons per cell
* Fermi-level density of states: 1.3502 states/eV per atom
* calculated formation energy: -51 kJ/mol of formula units